Entry 1:
PrNd2Sc | Alexandria via LeMat-Bulk | PBE | optimized geometry; calculated formation energy = 45 meV/atom; density = 6.07 Mg/m³
1.0
3.619 0.000 0.000
1.807 5.901 0.000
0.009 1.132 6.072
Pr Nd Sc
1 2 1
direct
0.000 0.000 0.000
0.241 0.516 0.743
0.485 0.031 0.487
0.742 0.515 0.244

Entry 2:
NaNbCu2S4 | Alexandria via LeMat-Bulk | PBE | optimized geometry; formation energy (no corrections) = -5.50 eV per formula unit; density = 3.60 Mg/m³
1.0
-2.893 2.893 5.122
2.893 -2.893 5.122
2.893 2.893 -5.122
Na Nb Cu S
1 1 2 4
direct
0.000 0.000 0.000
0.500 0.500 0.000
0.250 0.750 0.500
0.750 0.250 0.500
0.138 0.138 0.556
0.418 0.862 0.000
0.582 0.582 0.444
0.862 0.418 0.000

Entry 3:
ErFeP2Os | Alexandria via LeMat-Bulk | PBE | optimized geometry; calculated formation energy = -852 meV/atom; density = 10.65 Mg/m³
1.0
-1.979 1.979 4.734
1.979 -1.979 4.734
1.979 1.979 -4.734
Er Fe P Os
1 1 2 1
direct
0.000 0.000 0.000
0.750 0.250 0.500
0.374 0.374 0.000
0.626 0.626 0.000
0.250 0.750 0.500

Entry 4:
Y2TmGa9 | Alexandria via LeMat-Bulk | PBE | optimized geometry; calculated formation energy = -530 meV/atom; density = 6.94 Mg/m³
1.0
4.267 0.000 0.000
0.000 4.267 0.000
0.000 0.000 12.793
Y Tm Ga
2 1 9
direct
0.000 0.000 0.168
0.000 0.000 0.832
0.000 0.000 0.500
0.000 0.500 0.000
0.000 0.500 0.336
0.000 0.500 0.664
0.500 0.000 0.000
0.500 0.000 0.336
0.500 0.000 0.664
0.500 0.500 0.167
0.500 0.500 0.500
0.500 0.500 0.833

Entry 5:
Li2PtAu | Alexandria via LeMat-Bulk | PBE | optimized geometry; calculated formation energy = -493 meV/atom; density = 11.27 Mg/m³
1.0
4.377 -1.491 0.000
4.377 1.491 0.000
-1.222 0.000 4.581
Li Pt Au
2 1 1
direct
0.248 0.248 0.238
0.752 0.752 0.762
0.500 0.500 0.000
0.000 0.000 0.500

Entry 6:
BaYSb | Alexandria via LeMat-Bulk | PBE | optimized geometry; formation energy (no corrections) = -1.80 eV per formula unit; density = 5.08 Mg/m³
1.0
-2.082 2.082 6.556
2.082 -2.082 6.556
2.082 2.082 -6.556
Ba Y Sb
1 1 1
direct
0.000 0.000 0.000
0.730 0.730 0.000
0.308 0.308 0.000

Entry 7:
K3Pb5Au2 | Alexandria via LeMat-Bulk | PBE | optimized geometry; calculated formation energy = -173 meV/atom; density = 7.98 Mg/m³
1.0
11.813 0.000 0.000
0.000 11.813 0.000
0.000 0.000 4.617
K Pb Au
6 10 4
direct
0.000 0.000 0.000
0.171 0.329 0.000
0.329 0.829 0.000
0.500 0.500 0.000
0.671 0.171 0.000
0.829 0.671 0.000
0.000 0.500 0.500
0.069 0.775 0.500
0.225 0.069 0.500
0.275 0.569 0.500
0.431 0.275 0.500
0.500 0.000 0.500
0.569 0.725 0.500
0.725 0.431 0.500
0.775 0.931 0.500
0.931 0.225 0.500
0.131 0.631 0.000
0.369 0.131 0.000
0.631 0.869 0.000
0.869 0.369 0.000

Entry 8:
SrLiBi2Pd4 | Alexandria via LeMat-Bulk | PBE | optimized geometry; calculated formation energy = -499 meV/atom; density = 9.25 Mg/m³
1.0
2.364 1.365 8.700
-2.364 1.365 8.700
0.000 -2.729 8.700
Sr Li Bi Pd
1 1 2 4
direct
0.000 0.000 0.000
0.500 0.500 0.500
0.240 0.240 0.240
0.760 0.760 0.760
0.132 0.132 0.132
0.403 0.403 0.403
0.597 0.597 0.597
0.868 0.868 0.868

Q: The highest density belongs to which entry?
A: Li2PtAu

Q: What is the formula in the eighth record?
A: SrLiBi2Pd4

Q: What is the density in the seventh record?
A: 7.98 Mg/m³